Below is crystalline Sr4Mn6F19 at its relaxed geometry, with properties calculated at the GGA+U level.

Lattice parameters (Å, degrees): 8.1569 8.1569 8.1569 109.47 109.47 109.47
Closest atoms and distances in Å follow each position.
Fractional coordinates of all 29 atoms:
1 Sr 0.0000 0.0000 0.6799  10 F 2.61-2.80
2 Sr 0.0000 0.6799 0.0000  10 F 2.61-2.80
3 Sr 0.3201 0.3201 0.3201  10 F 2.61-2.80
4 Sr 0.6799 0.0000 0.0000  10 F 2.61-2.80
5 Mn 0.3334 0.5000 0.8334  6 F 2.11-2.22
6 Mn 0.6666 0.5000 0.1666  6 F 2.11-2.22
7 Mn 0.1666 0.6666 0.5000  6 F 2.11-2.22
8 Mn 0.8334 0.3334 0.5000  6 F 2.11-2.22
9 Mn 0.5000 0.8334 0.3334  6 F 2.11-2.22
10 Mn 0.5000 0.1666 0.6666  6 F 2.11-2.22
11 F 0.6673 0.0000 0.6673  2 Mn 2.22
12 F 0.3327 0.0000 0.3327  2 Mn 2.22
13 F 0.3327 0.3327 0.0000  2 Mn 2.22
14 F 0.6673 0.6673 0.0000  2 Mn 2.22
15 F 0.0000 0.6673 0.6673  2 Mn 2.22
16 F 0.0000 0.3327 0.3327  2 Mn 2.22
17 F 0.0000 0.0000 0.0000  4 Sr 2.61
18 F 0.2516 0.2238 0.5988  2 Mn 2.11-2.16
19 F 0.7484 0.3473 0.9722  2 Mn 2.11-2.16
20 F 0.6250 0.6527 0.4012  2 Mn 2.11-2.16
21 F 0.9722 0.7484 0.3473  2 Mn 2.11-2.16
22 F 0.3750 0.7762 0.0278  2 Mn 2.11-2.16
23 F 0.5988 0.2516 0.2238  2 Mn 2.11-2.16
24 F 0.0278 0.3750 0.7762  2 Mn 2.11-2.16
25 F 0.4012 0.6250 0.6527  2 Mn 2.11-2.16
26 F 0.7762 0.0278 0.3750  2 Mn 2.11-2.16
27 F 0.3473 0.9722 0.7484  2 Mn 2.11-2.16
28 F 0.2238 0.5988 0.2516  2 Mn 2.11-2.16
29 F 0.6527 0.4012 0.6250  2 Mn 2.11-2.16

The total energy is -175.27 eV per cell. The space group is I23 (197).